1.
# ZrScBiO6

A geometry-optimized ZrScBiO6 structure (PBE, Alexandria).

Unit cell a=5.473 b=5.473 c=9.251 alpha=90.00 beta=90.00 gamma=120.00
Fractional positions:
Zr 0.333 0.667 0.250
Zr 0.667 0.333 0.750
Sc 0.000 0.000 0.000
Sc 0.000 0.000 0.500
Bi 0.333 0.667 0.750
Bi 0.667 0.333 0.250
O 0.003 0.336 0.128
O 0.003 0.667 0.372
O 0.333 0.336 0.372
O 0.333 0.997 0.128
O 0.336 0.003 0.628
O 0.336 0.333 0.872
O 0.664 0.667 0.128
O 0.664 0.997 0.372
O 0.667 0.003 0.872
O 0.667 0.664 0.628
O 0.997 0.333 0.628
O 0.997 0.664 0.872

Results
- V: 13.3 Å³/atom
- Space group: P-31c (163)
- Uncorrected energy: -137.8 eV per cell
- ΔE_f (raw): -2267 meV/atom


2.
# ZrSc2BiO

A geometry-optimized ZrSc2BiO structure (PBE, Alexandria).

Unit cell a=4.372 b=4.372 c=4.883 alpha=90.00 beta=90.00 gamma=90.00
Fractional positions:
Zr 0.000 0.000 0.000
Sc 0.000 0.500 0.500
Sc 0.500 0.000 0.500
Bi 0.500 0.500 0.000
O 0.000 0.000 0.500

Results
- V: 18.7 Å³/atom
- Space group: P4/mmm (123)
- Uncorrected energy: -36.2 eV per cell
- ΔE_f (raw): -1224 meV/atom


3.
# BiSeO3

A geometry-optimized BiSeO3 structure (PBE, Alexandria).

Unit cell a=4.225 b=4.225 c=4.225 alpha=90.00 beta=90.00 gamma=90.00
Fractional positions:
Bi 0.000 0.000 0.000
Se 0.500 0.500 0.500
O 0.000 0.000 0.500
O 0.000 0.500 0.000
O 0.500 0.000 0.000

Results
- V: 15.1 Å³/atom
- Space group: Pm-3m (221)
- Uncorrected energy: -21.8 eV per cell
- ΔE_f (raw): 81 meV/atom


4.
# BiSeO3

A geometry-optimized BiSeO3 structure (PBE, Alexandria).

Unit cell a=4.042 b=4.042 c=4.042 alpha=90.00 beta=90.00 gamma=90.00
Fractional positions:
Bi 0.000 0.000 0.000
Se 0.500 0.500 0.500
O 0.000 0.500 0.500
O 0.500 0.000 0.500
O 0.500 0.500 0.000

Results
- V: 13.2 Å³/atom
- Space group: Pm-3m (221)
- Uncorrected energy: -23.9 eV per cell
- ΔE_f (raw): -325 meV/atom


5.
# Bi2SeO2

A geometry-optimized Bi2SeO2 structure (PBE, Alexandria).

Unit cell a=6.011 b=6.011 c=6.011 alpha=139.28 beta=139.28 gamma=58.94
Fractional positions:
Bi 0.190 0.190 0.000
Bi 0.810 0.810 0.000
Se 0.500 0.500 0.000
O 0.000 0.500 0.500
O 0.500 0.000 0.500

Results
- V: 18.3 Å³/atom
- Space group: I4/mmm (139)
- Uncorrected energy: -21.9 eV per cell
- ΔE_f (raw): -138 meV/atom


6.
# BiSeO3

A geometry-optimized BiSeO3 structure (PBE, Alexandria).

Unit cell a=4.482 b=5.260 c=6.559 alpha=90.00 beta=106.15 gamma=90.00
Fractional positions:
Bi 0.144 0.250 0.350
Bi 0.856 0.750 0.650
Se 0.457 0.250 0.887
Se 0.543 0.750 0.113
O 0.169 0.750 0.129
O 0.289 0.007 0.647
O 0.289 0.493 0.647
O 0.711 0.507 0.353
O 0.711 0.993 0.353
O 0.831 0.250 0.871

Results
- V: 14.9 Å³/atom
- Space group: P2_1/m (11)
- Uncorrected energy: -52.3 eV per cell
- ΔE_f (raw): -783 meV/atom


7.
# BiSeO2

A geometry-optimized BiSeO2 structure (PBE, Alexandria).

Unit cell a=6.783 b=6.783 c=6.783 alpha=31.00 beta=31.00 gamma=31.00
Fractional positions:
Bi 0.000 0.000 0.000
Se 0.500 0.500 0.500
O 0.393 0.393 0.393
O 0.607 0.607 0.607

Results
- Excess energy over the best structure of this formula in the dataset: 0 meV per atom
- V: 18.4 Å³/atom
- Space group: R-3m (166)
- Uncorrected energy: -19.6 eV per cell
- ΔE_f (raw): -574 meV/atom


8.
# BiSeO2

A geometry-optimized BiSeO2 structure (PBE, Alexandria).

Unit cell a=5.481 b=5.481 c=5.481 alpha=108.32 beta=108.32 gamma=111.79
Fractional positions:
Bi 0.000 0.000 0.000
Bi 0.750 0.250 0.500
Se 0.250 0.750 0.500
Se 0.500 0.500 0.000
O 0.132 0.625 0.007
O 0.375 0.382 0.507
O 0.618 0.125 0.993
O 0.875 0.868 0.493

Results
- Excess energy over the best structure of this formula in the dataset: 375 meV per atom
- V: 15.8 Å³/atom
- Space group: I-42d (122)
- Uncorrected energy: -36.2 eV per cell
- ΔE_f (raw): -198 meV/atom


9.
# BiSe3O12

A geometry-optimized BiSe3O12 structure (PBE, Alexandria).

Unit cell a=9.587 b=9.587 c=6.261 alpha=90.00 beta=90.00 gamma=120.00
Fractional positions:
Bi 0.333 0.667 0.250
Bi 0.667 0.333 0.750
Se 0.091 0.390 0.750
Se 0.300 0.909 0.750
Se 0.390 0.300 0.250
Se 0.610 0.700 0.750
Se 0.700 0.091 0.250
Se 0.909 0.610 0.250
O 0.007 0.191 0.750
O 0.040 0.542 0.250
O 0.184 0.993 0.750
O 0.191 0.184 0.250
O 0.215 0.461 0.536
O 0.215 0.461 0.964
O 0.246 0.785 0.536
O 0.246 0.785 0.964
O 0.458 0.498 0.250
O 0.461 0.246 0.036
O 0.461 0.246 0.464
O 0.498 0.040 0.750
O 0.502 0.960 0.250
O 0.539 0.754 0.536
O 0.539 0.754 0.964
O 0.542 0.502 0.750
O 0.754 0.215 0.036
O 0.754 0.215 0.464
O 0.785 0.539 0.036
O 0.785 0.539 0.464
O 0.809 0.816 0.750
O 0.816 0.007 0.250
O 0.960 0.458 0.750
O 0.993 0.809 0.250

Results
- V: 15.6 Å³/atom
- Space group: P6_3/m (176)
- Uncorrected energy: -158.8 eV per cell
- ΔE_f (raw): -349 meV/atom


10.
# BiSeO6

A geometry-optimized BiSeO6 structure (PBE, Alexandria).

Unit cell a=4.356 b=4.356 c=4.987 alpha=97.39 beta=97.39 gamma=95.13
Fractional positions:
Bi 0.000 0.000 0.000
Se 0.500 0.500 0.500
O 0.176 0.549 0.248
O 0.228 0.228 0.639
O 0.451 0.824 0.752
O 0.549 0.176 0.248
O 0.772 0.772 0.361
O 0.824 0.451 0.752

Results
- V: 11.6 Å³/atom
- Space group: C2/m (12)
- Uncorrected energy: -38.7 eV per cell
- ΔE_f (raw): -204 meV/atom


11.
# BiSeO2

A geometry-optimized BiSeO2 structure (PBE, Alexandria).

Unit cell a=4.370 b=4.370 c=4.370 alpha=60.00 beta=60.00 gamma=60.00
Fractional positions:
Bi 0.000 0.000 0.000
Se 0.500 0.500 0.500
O 0.250 0.250 0.250
O 0.750 0.750 0.750

Results
- Excess energy over the best structure of this formula in the dataset: 674 meV per atom
- V: 14.8 Å³/atom
- Space group: Fm-3m (225)
- Uncorrected energy: -16.9 eV per cell
- ΔE_f (raw): 100 meV/atom


12.
# Bi2SeO2

A geometry-optimized Bi2SeO2 structure (PBE, Alexandria).

Unit cell a=6.152 b=6.152 c=7.006 alpha=117.70 beta=117.70 gamma=68.33
Fractional positions:
Bi 0.052 0.679 0.830
Bi 0.321 0.948 0.670
Bi 0.679 0.052 0.330
Bi 0.948 0.321 0.170
Se 0.428 0.572 0.250
Se 0.572 0.428 0.750
O 0.019 0.217 0.487
O 0.217 0.019 0.987
O 0.783 0.981 0.013
O 0.981 0.783 0.513

Results
- V: 20.4 Å³/atom
- Space group: C2/c (15)
- Uncorrected energy: -51.2 eV per cell
- ΔE_f (raw): -887 meV/atom


> What is the ΔE_f (raw) in the third record?

81 meV/atom


> Which value of ΔE_f (raw) does entry 11 give?

100 meV/atom


> The highest V belongs to which entry?

number 12